# LiEr2Cd5 PBE optimized geometry
data_LiEr2Cd5
_chemical_formula_sum 'Li2 Er4 Cd10'
_cell_length_a 4.8532
_cell_length_b 4.8532
_cell_length_c 15.5300
_cell_angle_alpha 90.00
_cell_angle_beta 90.00
_cell_angle_gamma 90.00
_space_group_name_H-M_alt 'I 4/m m m'
_space_group_IT_number 139
_space_group_name_Hall '-I 4 2'
loop_
_atom_site_label
_atom_site_fract_x
_atom_site_fract_y
_atom_site_fract_z
Li1 0.0000 0.0000 0.0000
Er1 0.0000 0.0000 0.2560
Cd1 0.0000 0.0000 0.5000
Cd2 0.0000 0.5000 0.1140
# ρ   8.2 g cm⁻³
# Final energy   -2.19 eV/atom
# N(E_F)   0.55 states/eV per atom
# ΔH_f (0 K)   -0.239 eV/atom
# Total magnetization   0.3 μB per cell